Compound: Ac3Pm2DyTe6
Source: Alexandria via LeMat-Bulk
Functional: PBE
Structure: optimized geometry

Lattice parameters (Å, degrees): 10.3050 10.3050 9.2852 104.73 104.73 25.34
Last column: nearest neighbours and their distance in Å.
Atoms (fractional coordinates):
Ac 0.0000 0.0000 0.0000  6 Te 3.30-3.36
Ac 0.3306 0.3306 0.6653  6 Te 3.32-3.36
Ac 0.6694 0.6694 0.3347  6 Te 3.32-3.36
Pm 0.3320 0.3320 0.1646  6 Te 3.15-3.21
Pm 0.6680 0.6680 0.8354  6 Te 3.15-3.21
Dy 0.0000 0.0000 0.5000  6 Te 3.09-3.12
Te 0.1590 0.1590 0.5915  1 Dy 3.09, 2 Pm 3.17, 3 Ac 3.33-3.34
Te 0.1698 0.1698 0.0738  3 Pm 3.15-3.16, 3 Ac 3.30-3.32
Te 0.4970 0.4970 0.2666  2 Dy 3.12, 1 Pm 3.21, 3 Ac 3.36
Te 0.5030 0.5030 0.7334  2 Dy 3.12, 1 Pm 3.21, 3 Ac 3.36
Te 0.8302 0.8302 0.9262  3 Pm 3.15-3.16, 3 Ac 3.30-3.32
Te 0.8410 0.8410 0.4085  1 Dy 3.09, 2 Pm 3.17, 3 Ac 3.33-3.34

Volume   33.95 Å³/atom
Spin magnetization   0.0 μB per cell
E_tot   -5.1970 eV/atom

Compound: Sm5Hg4Ir
Source: Alexandria via LeMat-Bulk
Functional: PBE
Structure: optimized geometry

Lattice parameters (Å, degrees): 3.6860 3.6860 19.2020 90.00 90.00 90.00
Last column: nearest neighbours and their distance in Å.
Atoms (fractional coordinates):
Sm 0.0000 0.0000 0.0000  8 Hg 3.27
Sm 0.0000 0.0000 0.2062  8 Hg 3.23-3.28
Sm 0.0000 0.0000 0.4155  4 Ir 3.07, 1 Sm 3.25, 4 Hg 3.35
Sm 0.0000 0.0000 0.5845  4 Ir 3.07, 1 Sm 3.25, 4 Hg 3.35
Sm 0.0000 0.0000 0.7938  8 Hg 3.23-3.28
Hg 0.5000 0.5000 0.1027  8 Sm 3.27-3.28
Hg 0.5000 0.5000 0.3056  8 Sm 3.23-3.35
Hg 0.5000 0.5000 0.6944  8 Sm 3.23-3.35
Hg 0.5000 0.5000 0.8973  8 Sm 3.27-3.28
Ir 0.5000 0.5000 0.5000  8 Sm 3.07

Energy relative to the elements   -5.2 eV per formula unit
Volume   26.09 Å³/atom
Spin magnetization   0.6 μB per cell
E_tot   -3.8844 eV/atom

The highest spin magnetization belongs to which entry?
Sm5Hg4Ir

What is the spin magnetization in the second record?
0.6 μB per cell